# PBEsol KMn4As, relaxed
data_KMn4As
_cell_length_a 7.621
_cell_length_b 7.621
_cell_length_c 7.621
_cell_angle_alpha 90.00
_cell_angle_beta 90.00
_cell_angle_gamma 90.00
_symmetry_space_group_name_H-M 'F -4 3 m'
_symmetry_Int_Tables_number 216
_symmetry_space_group_name_Hall 'F -4 2 3'
loop_
_atom_site_label
_atom_site_fract_x
_atom_site_fract_y
_atom_site_fract_z
K1 0.000 0.000 0.000
Mn1 0.124 0.124 0.376
As1 0.250 0.250 0.750
# Formation energy (meV per atom): 965
# Calculated volume (A^3/atom): 18.44
# Mass density (g/cm3): 5.0

---

# PBEsol KMnAsSe2, relaxed
data_KMnAsSe2
_cell_length_a 5.388
_cell_length_b 5.388
_cell_length_c 5.181
_cell_angle_alpha 90.00
_cell_angle_beta 90.00
_cell_angle_gamma 90.00
_symmetry_space_group_name_H-M 'P 4/m m m'
_symmetry_Int_Tables_number 123
_symmetry_space_group_name_Hall '-P 4 2'
loop_
_atom_site_label
_atom_site_fract_x
_atom_site_fract_y
_atom_site_fract_z
K1 0.000 0.000 0.000
Mn1 0.500 0.500 0.500
As1 0.000 0.000 0.500
Se1 0.000 0.500 0.000
# Raw formation energy (meV per atom): 1444
# Calculated volume (A^3/atom): 30.08
# Mass density (g/cm3): 3.6

---

# PBEsol KMoAs2N, relaxed
data_KMoAs2N
_cell_length_a 5.093
_cell_length_b 5.093
_cell_length_c 3.973
_cell_angle_alpha 90.00
_cell_angle_beta 90.00
_cell_angle_gamma 90.00
_symmetry_space_group_name_H-M 'P 4/m m m'
_symmetry_Int_Tables_number 123
_symmetry_space_group_name_Hall '-P 4 2'
loop_
_atom_site_label
_atom_site_fract_x
_atom_site_fract_y
_atom_site_fract_z
K1 0.000 0.000 0.000
Mo1 0.500 0.500 0.500
As1 0.000 0.500 0.000
N1 0.000 0.000 0.500
# Raw formation energy (meV per atom): 2567
# Calculated volume (A^3/atom): 20.61
# Mass density (g/cm3): 4.8